(a)
# YZr2Cl

An optimized crystal structure of YZr2Cl (PBE, the Alexandria database).

extended XYZ file:
```
4
Lattice="-4.924 -1.483 1.878 -4.747 -2.432 -1.233 -0.283 -5.749 1.738" Properties=species:S:1:pos:R:3 pbc="T T T"
Cl -4.520 -4.006 0.966
Y -2.016 -2.780 0.734
Zr -0.610 -5.698 1.704
Zr -8.068 -7.760 1.910
```

Properties
As for the space group: No. 8.



(b)
# YZr2Cl

An optimized crystal structure of YZr2Cl (PBE, the Alexandria database).

extended XYZ file:
```
4
Lattice="-0.126 -3.130 0.852 3.239 -0.075 0.204 -0.478 2.319 8.452" Properties=species:S:1:pos:R:3 pbc="T T T"
Cl 1.437 -1.023 2.641
Y 1.198 0.137 6.867
Zr -0.019 0.094 0.343
Zr -0.220 1.065 3.883
```

Properties
As for the space group: No. 123.



(c)
# YZr2Cl

An optimized crystal structure of YZr2Cl (PBE, the Alexandria database).

extended XYZ file:
```
4
Lattice="-2.858 -1.532 0.356 2.124 -1.137 -2.200 4.103 -6.010 7.070" Properties=species:S:1:pos:R:3 pbc="T T T"
Cl 0.659 -2.837 0.846
Y 2.710 -5.842 4.380
Zr 0.124 -0.182 0.214
Zr 1.927 -2.823 3.321
```

Properties
As for the space group: No. 65.



Energy ordering: (a) at the bottom, the next structure 0.163 eV/atom above.



(a)
# YZr2Cl

An optimized crystal structure of YZr2Cl (PBE, the Alexandria database).

extended XYZ file:
```
4
Lattice="-4.702 0.886 1.133 0.028 -2.577 2.132 1.713 2.549 5.120" Properties=species:S:1:pos:R:3 pbc="T T T"
Cl 0.892 0.501 3.313
Y -1.184 0.167 5.627
Zr 0.255 -2.174 2.760
Zr -2.026 -0.228 2.443
```

Properties
As for the space group: No. 6.



(b)
# YZr2Cl

An optimized crystal structure of YZr2Cl (PBE, the Alexandria database).

extended XYZ file:
```
4
Lattice="-3.657 -3.644 3.301 3.058 -3.522 3.974 -1.763 5.570 -1.851" Properties=species:S:1:pos:R:3 pbc="T T T"
Cl -0.307 -3.679 3.735
Y 0.479 -1.001 3.118
Zr -0.586 -7.017 7.124
Zr -2.845 -0.649 2.362
```

Properties
As for the space group: No. 44.



Energy ordering: (a) at the bottom, the next structure 0.066 eV/atom above.



(a)
# YZr3Cl

An optimized crystal structure of YZr3Cl (PBE, the Alexandria database).

extended XYZ file:
```
5
Lattice="5.354 0.000 0.000 0.000 5.354 0.000 0.000 0.000 5.354" Properties=species:S:1:pos:R:3 pbc="T T T"
Y 0.000 0.000 0.000
Zr 0.000 2.677 0.000
Zr 0.000 0.000 2.677
Zr 2.677 0.000 0.000
Cl 2.677 2.677 2.677
```

Properties
As for the space group: No. 221.



(b)
# YZr3Cl

An optimized crystal structure of YZr3Cl (PBE, the Alexandria database).

extended XYZ file:
```
5
Lattice="4.936 0.000 0.000 0.000 4.936 0.000 0.000 0.000 4.936" Properties=species:S:1:pos:R:3 pbc="T T T"
Y 2.468 2.468 2.468
Zr 0.000 2.468 0.000
Zr 0.000 0.000 2.468
Zr 2.468 0.000 0.000
Cl 0.000 0.000 0.000
```

Properties
As for the space group: No. 221.



Energy ordering: (b) at the bottom, the next structure 1.609 eV/atom above.



(a)
# Zn3Cl

An optimized crystal structure of Zn3Cl (PBE, the Alexandria database).

extended XYZ file:
```
4
Lattice="4.883 0.000 0.000 2.441 4.229 0.000 2.441 1.410 3.987" Properties=species:S:1:pos:R:3 pbc="T T T"
Cl 0.000 0.000 0.000
Zn 2.441 1.410 0.997
Zn 4.883 2.819 1.993
Zn 7.324 4.229 2.990
```

Properties
As for the space group: No. 225.



(b)
# Zn3Cl

An optimized crystal structure of Zn3Cl (PBE, the Alexandria database).

extended XYZ file:
```
4
Lattice="3.104 0.000 0.000 0.000 3.104 0.000 0.000 0.000 7.307" Properties=species:S:1:pos:R:3 pbc="T T T"
Cl 0.000 0.000 0.000
Zn 1.552 1.552 1.980
Zn 0.000 0.000 3.653
Zn 1.552 1.552 5.327
```

Properties
As for the space group: No. 123.



(c)
# Zn3Cl

An optimized crystal structure of Zn3Cl (PBE, the Alexandria database).

extended XYZ file:
```
4
Lattice="4.300 0.000 0.000 0.000 4.300 0.000 0.000 0.000 4.300" Properties=species:S:1:pos:R:3 pbc="T T T"
Cl 0.000 0.000 0.000
Zn 0.000 2.150 2.150
Zn 2.150 0.000 2.150
Zn 2.150 2.150 0.000
```

Properties
As for the space group: No. 221.



(d)
# Zn3Cl

An optimized crystal structure of Zn3Cl (PBE, the Alexandria database).

extended XYZ file:
```
4
Lattice="-4.155 1.292 3.023 -1.411 -4.757 1.859 3.874 3.612 0.136" Properties=species:S:1:pos:R:3 pbc="T T T"
Cl -0.141 2.452 1.580
Zn -1.343 -0.836 1.178
Zn -4.224 -2.629 3.704
Zn 1.231 -0.572 0.998
```

Properties
As for the space group: No. 71.



Energy ordering: (b) at the bottom, the next structure 0.041 eV/atom above.



(a)
# Zn3Cl

An optimized crystal structure of Zn3Cl (PBE, the Alexandria database).

extended XYZ file:
```
4
Lattice="4.820 -0.007 0.000 -1.979 4.395 0.000 0.000 0.000 3.687" Properties=species:S:1:pos:R:3 pbc="T T T"
Cl 0.000 0.000 0.000
Zn -0.990 2.198 1.844
Zn 2.410 -0.003 1.844
Zn 1.420 2.194 0.000
```

Properties
As for the space group: No. 65.



(b)
# Zn3Cl

An optimized crystal structure of Zn3Cl (PBE, the Alexandria database).

extended XYZ file:
```
4
Lattice="7.738 0.038 0.022 7.000 3.299 0.022 7.000 1.585 2.893" Properties=species:S:1:pos:R:3 pbc="T T T"
Cl 0.000 0.000 0.000
Zn 16.398 3.712 2.216
Zn 10.869 2.461 1.469
Zn 5.340 1.209 0.722
```

Properties
As for the space group: No. 166.



(c)
# Zn3Cl

An optimized crystal structure of Zn3Cl (PBE, the Alexandria database).

extended XYZ file:
```
4
Lattice="3.407 0.000 0.000 0.000 4.908 -0.162 0.000 1.554 5.004" Properties=species:S:1:pos:R:3 pbc="T T T"
Cl 0.000 0.000 0.000
Zn 1.704 4.939 3.404
Zn 0.000 3.231 2.421
Zn 1.704 1.523 1.439
```

Properties
As for the space group: No. 10.



(d)
# Zn3Cl

An optimized crystal structure of Zn3Cl (PBE, the Alexandria database).

extended XYZ file:
```
4
Lattice="-0.758 5.355 2.162 1.968 -1.811 5.175 5.430 1.404 -1.574" Properties=species:S:1:pos:R:3 pbc="T T T"
Cl 0.000 0.000 0.000
Zn -0.379 2.678 1.081
Zn 0.984 -0.905 2.587
Zn 2.715 0.702 -0.787
```

Properties
As for the space group: No. 221.



Energy ordering: (b) at the bottom, the next structure 0.107 eV/atom above.



(a)
# Zn3Cl

An optimized crystal structure of Zn3Cl (PBE, the Alexandria database).

extended XYZ file:
```
4
Lattice="3.386 -0.070 0.000 -1.656 2.954 0.000 0.000 0.000 7.892" Properties=species:S:1:pos:R:3 pbc="T T T"
Cl 0.000 0.000 0.000
Zn 0.865 1.442 5.866
Zn 0.000 0.000 3.946
Zn 0.865 1.442 2.026
```

Properties
As for the space group: No. 65.



(b)
# Zn3Cl

An optimized crystal structure of Zn3Cl (PBE, the Alexandria database).

extended XYZ file:
```
4
Lattice="5.078 -0.001 -0.004 -2.104 4.622 -0.004 -2.104 -3.270 3.266" Properties=species:S:1:pos:R:3 pbc="T T T"
Cl 0.000 0.000 0.000
Zn 1.487 2.310 -0.004
Zn -2.104 0.676 1.631
Zn 1.487 -1.636 1.631
```

Properties
As for the space group: No. 166.



Energy ordering: (a) at the bottom, the next structure 0.076 eV/atom above.



(a)
# Zn3Cl

An optimized crystal structure of Zn3Cl (PBE, the Alexandria database).

extended XYZ file:
```
8
Lattice="5.427 0.000 0.000 0.000 5.427 0.000 0.000 0.000 5.427" Properties=species:S:1:pos:R:3 pbc="T T T"
Zn 4.070 2.714 0.000
Zn 1.357 2.714 0.000
Zn 0.000 4.070 2.714
Zn 0.000 1.357 2.714
Zn 2.714 0.000 1.357
Zn 2.714 0.000 4.070
Cl 0.000 0.000 0.000
Cl 2.714 2.714 2.714
```

Properties
As for the space group: No. 223.



(b)
# Zn3Cl

An optimized crystal structure of Zn3Cl (PBE, the Alexandria database).

extended XYZ file:
```
4
Lattice="6.140 0.024 0.000 3.779 4.840 0.000 -4.960 -2.432 2.682" Properties=species:S:1:pos:R:3 pbc="T T T"
Cl 0.000 0.000 0.000
Zn 1.890 2.420 1.341
Zn 4.960 2.432 0.000
Zn 3.070 0.012 1.341
```

Properties
As for the space group: No. 139.



Energy ordering: (b) at the bottom, the next structure 0.089 eV/atom above.



(a)
# Zn2Cl

An optimized crystal structure of Zn2Cl (PBE, the Alexandria database).

extended XYZ file:
```
6
Lattice="3.108 1.473 4.232 0.061 5.194 1.662 -2.320 1.374 4.740" Properties=species:S:1:pos:R:3 pbc="T T T"
Zn 1.660 1.741 3.445
Zn 0.136 3.602 2.160
Zn -1.054 1.692 3.699
Zn 0.106 1.005 1.329
Cl 0.424 4.020 5.317
Cl 0.637 6.030 7.975
```

Properties
As for the space group: No. 227.



(b)
# Zn2Cl

An optimized crystal structure of Zn2Cl (PBE, the Alexandria database).

extended XYZ file:
```
12
Lattice="5.065 0.000 0.000 -2.532 4.386 0.000 0.000 0.000 11.191" Properties=species:S:1:pos:R:3 pbc="T T T"
Zn 0.000 0.000 0.000
Zn 0.000 0.000 5.596
Zn 2.532 2.925 2.798
Zn 0.000 1.461 8.394
Zn 1.265 0.730 2.798
Zn 3.799 0.730 2.798
Zn -1.267 3.656 8.394
Zn 1.267 3.656 8.394
Cl 0.000 2.924 1.168
Cl 2.532 1.462 6.764
Cl 2.532 1.462 10.023
Cl 0.000 2.924 4.428
```

Properties
As for the space group: No. 194.



(c)
# Zn2Cl

An optimized crystal structure of Zn2Cl (PBE, the Alexandria database).

extended XYZ file:
```
6
Lattice="5.277 8.397 1.352 0.528 9.563 2.908 -2.309 -9.736 0.248" Properties=species:S:1:pos:R:3 pbc="T T T"
Zn 3.357 10.384 2.463
Zn 0.107 2.999 2.310
Zn 2.449 7.575 1.797
Zn 1.015 5.808 2.976
Cl 0.000 0.000 0.000
Cl 2.935 3.820 1.865
```

Properties
As for the space group: No. 141.



(d)
# Zn2Cl

An optimized crystal structure of Zn2Cl (PBE, the Alexandria database).

extended XYZ file:
```
6
Lattice="4.584 -1.363 3.437 -2.389 -1.484 5.174 -1.306 -1.998 -5.384" Properties=species:S:1:pos:R:3 pbc="T T T"
Zn 2.811 -1.885 3.717
Zn -1.922 -2.961 -0.489
Zn 0.396 -1.702 -0.664
Zn 0.492 -3.143 3.892
Cl 1.646 -2.136 6.459
Cl 0.549 -0.712 2.153
```

Properties
As for the space group: No. 140.



Energy ordering: (d) at the bottom, the next structure 0.081 eV/atom above.



(a)
# ZrZnCl2

An optimized crystal structure of ZrZnCl2 (PBE, the Alexandria database).

extended XYZ file:
```
4
Lattice="5.867 0.008 0.000 3.331 4.830 0.000 -4.599 -2.419 2.724" Properties=species:S:1:pos:R:3 pbc="T T T"
Zn 4.599 2.419 0.000
Zr 2.934 0.004 1.362
Cl 0.000 0.000 0.000
Cl 1.665 2.415 1.362
```

Properties
As for the space group: No. 119.



(b)
# ZrZnCl2

An optimized crystal structure of ZrZnCl2 (PBE, the Alexandria database).

extended XYZ file:
```
4
Lattice="4.915 0.000 0.000 0.000 4.915 0.000 0.000 0.000 3.317" Properties=species:S:1:pos:R:3 pbc="T T T"
Zn 2.458 0.000 1.658
Zr 0.000 2.458 1.658
Cl 0.000 0.000 0.000
Cl 2.458 2.458 0.000
```

Properties
As for the space group: No. 123.



Energy ordering: (a) at the bottom, the next structure 0.069 eV/atom above.



(a)
# ZrZnCl2

An optimized crystal structure of ZrZnCl2 (PBE, the Alexandria database).

extended XYZ file:
```
4
Lattice="5.099 0.000 0.000 1.500 4.873 0.000 -3.300 -2.437 3.029" Properties=species:S:1:pos:R:3 pbc="T T T"
Zn 0.750 2.437 1.514
Zr 2.549 0.000 1.514
Cl 0.000 0.000 0.000
Cl 3.300 2.437 0.000
```

Properties
As for the space group: No. 139.



(b)
# ZrZnCl2

An optimized crystal structure of ZrZnCl2 (PBE, the Alexandria database).

extended XYZ file:
```
4
Lattice="5.075 0.018 0.000 -1.467 4.858 0.000 0.000 0.000 3.220" Properties=species:S:1:pos:R:3 pbc="T T T"
Zn 2.537 0.009 1.610
Zr -0.733 2.429 1.610
Cl 0.000 0.000 0.000
Cl 1.804 2.438 0.000
```

Properties
As for the space group: No. 65.



Energy ordering: (a) at the bottom, the next structure 0.107 eV/atom above.